[1]
# Ce2Zn3Hg, optimized geometry, DFT GGA-PBE
data_Ce2Zn3Hg
_symmetry_space_group_name_H-M 'I m m 2'
_symmetry_Int_Tables_number 44
_cell_length_a 3.582
_cell_length_b 4.726
_cell_length_c 16.244
_cell_angle_alpha 90.00
_cell_angle_beta 90.00
_cell_angle_gamma 90.00
loop_
_symmetry_equiv_pos_as_xyz
'x,y,z'
'-x,-y,z'
'-x,y,z'
'x,-y,z'
'x+1/2,y+1/2,z+1/2'
'-x+1/2,-y+1/2,z+1/2'
'-x+1/2,y+1/2,z+1/2'
'x+1/2,-y+1/2,z+1/2'
loop_
_atom_site_label
_atom_site_type_symbol
_atom_site_fract_x
_atom_site_fract_y
_atom_site_fract_z
Ce1 Ce 0.000 0.000 0.000
Ce2 Ce 0.000 0.500 0.268
Zn1 Zn 0.000 0.000 0.431
Zn2 Zn 0.000 0.500 0.676
Zn3 Zn 0.000 0.500 0.831
Hg1 Hg 0.000 0.000 0.596
# Volume   22.92 Å³ per atom
# Density of states at the Fermi level   2.242 states/eV/atom
# Energy of formation   -0.21 eV per atom



[2]
# K2RbAgPt, optimized geometry, DFT GGA-PBE
data_K2RbAgPt
_symmetry_space_group_name_H-M 'P 4/m m m'
_symmetry_Int_Tables_number 123
_symmetry_space_group_name_Hall '-P 4 2'
_cell_length_a 6.116
_cell_length_b 6.116
_cell_length_c 5.397
_cell_angle_alpha 90.00
_cell_angle_beta 90.00
_cell_angle_gamma 90.00
loop_
_atom_site_label
_atom_site_type_symbol
_atom_site_fract_x
_atom_site_fract_y
_atom_site_fract_z
K1 K 0.000 0.500 0.000
Rb1 Rb 0.000 0.000 0.500
Ag1 Ag 0.500 0.500 0.500
Pt1 Pt 0.500 0.500 0.000
# Volume   40.38 Å³ per atom
# Density of states at the Fermi level   0.272 states/eV/atom
# Energy of formation   0.09 eV per atom



[3]
# Ac2NiBi4Pd3, optimized geometry, DFT GGA-PBE
data_Ac2NiBi4Pd3
_symmetry_space_group_name_H-M 'P -4 m 2'
_symmetry_Int_Tables_number 115
_cell_length_a 4.823
_cell_length_b 4.823
_cell_length_c 11.035
_cell_angle_alpha 90.00
_cell_angle_beta 90.00
_cell_angle_gamma 90.00
loop_
_symmetry_equiv_pos_as_xyz
'x,y,z'
'y,-x,-z'
'-x,-y,z'
'-y,x,-z'
'-x,y,z'
'-y,-x,-z'
'x,-y,z'
'y,x,-z'
loop_
_atom_site_label
_atom_site_type_symbol
_atom_site_fract_x
_atom_site_fract_y
_atom_site_fract_z
Ac1 Ac 0.000 0.500 0.229
Ni1 Ni 0.500 0.500 0.000
Bi1 Bi 0.000 0.000 0.500
Bi2 Bi 0.000 0.500 0.881
Bi3 Bi 0.500 0.500 0.500
Pd1 Pd 0.000 0.000 0.000
Pd2 Pd 0.000 0.500 0.635
# Volume   25.67 Å³ per atom
# Density of states at the Fermi level   0.517 states/eV/atom
# Energy of formation   -0.59 eV per atom



What is the density of states at the Fermi level in the second record?
0.272 states/eV/atom